Arrangement a

# CsSrFe3

A geometry-optimized CsSrFe3 structure (PBE, the Alexandria database).

Lattice parameters (Å, degrees): 5.746 5.746 5.746 90.00 90.00 90.00
Space group Pm-3m (No. 221)
Unique sites:
Cs 0.000 0.000 0.000
Sr 0.500 0.500 0.500
Fe 0.000 0.500 0.500

Calculated values
- magnetization (μB/f.u.) = 9.01

---

Arrangement b

# CsSrFe3

A geometry-optimized CsSrFe3 structure (PBE, the Alexandria database).

Lattice parameters (Å, degrees): 5.171 5.171 5.171 90.00 90.00 90.00
Space group Pm-3m (No. 221)
Unique sites:
Cs 0.000 0.000 0.000
Sr 0.500 0.500 0.500
Fe 0.000 0.000 0.500

Calculated values
- magnetization (μB/f.u.) = 8.39

---

Q: Which of them is the most stable? A: arrangement a.